[1]
Density functional theory data (GGA-PBE) for an optimized crystal structure of MgTcAs.

Results
space-group type	No. 129
distance to the lowest polymorph of the same formula	0	meV/atom

a = 4.223 Å, b = 4.223 Å, c = 6.002 Å
α = 90.00°, β = 90.00°, γ = 90.00°
Sites, in units of the cell vectors:
Mg: 0.250 0.250 0.181
Mg: 0.750 0.750 0.819
Tc: 0.250 0.750 0.500
Tc: 0.750 0.250 0.500
As: 0.250 0.250 0.732
As: 0.750 0.750 0.268

[2]
Density functional theory data (GGA-PBE) for an optimized crystal structure of MgTcAs2.

Results
space-group type	No. 166

a = 7.823 Å, b = 7.823 Å, c = 7.823 Å
α = 24.38°, β = 24.38°, γ = 24.38°
Sites, in units of the cell vectors:
Mg: 0.000 0.000 0.000
Tc: 0.500 0.500 0.500
As: 0.241 0.241 0.241
As: 0.759 0.759 0.759

[3]
Density functional theory data (GGA-PBE) for an optimized crystal structure of Mg2TcAs4.

Results
space-group type	No. 139

a = 7.460 Å, b = 7.460 Å, c = 7.460 Å
α = 141.84°, β = 141.84°, γ = 55.08°
Sites, in units of the cell vectors:
Mg: 0.115 0.115 0.000
Mg: 0.885 0.885 0.000
Tc: 0.500 0.500 0.000
As: 0.000 0.500 0.500
As: 0.305 0.305 0.000
As: 0.500 0.000 0.500
As: 0.695 0.695 0.000

[4]
Density functional theory data (GGA-PBE) for an optimized crystal structure of MgTc2As.

Results
space-group type	No. 35
distance to the lowest polymorph of the same formula	267	meV/atom

a = 2.826 Å, b = 2.826 Å, c = 8.826 Å
α = 90.00°, β = 90.00°, γ = 112.40°
Sites, in units of the cell vectors:
Mg: 0.000 0.000 0.000
Tc: 0.000 0.000 0.486
Tc: 0.500 0.500 0.253
As: 0.500 0.500 0.721

no.,E_form (eV/atom)
1,-0.29
2,-0.16
3,0.23
4,0.24